Entry 1:
Below is crystalline Li2Zr at its relaxed geometry, with properties calculated at the PBE level.

Properties
ΔE to the lowest computed polymorph (eV per atom): 0.000

The structure in POSCAR format:
```
Li2Zr
1.0
1.645 -7.424 0.000
1.645 7.424 0.000
0.000 0.000 4.399
Li Zr
4 2
Direct
0.113 0.887 0.750
0.249 0.751 0.250
0.751 0.249 0.750
0.887 0.113 0.250
0.436 0.564 0.750
0.564 0.436 0.250
```

=====

Entry 2:
Below is crystalline Li2Zr at its relaxed geometry, with properties calculated at the PBE level.

Properties
ΔE to the lowest computed polymorph (eV per atom): 1.832

The structure in POSCAR format:
```
Li2Zr
1.0
0.000 6.394 6.394
6.394 0.000 6.394
6.394 6.394 0.000
Li Zr
4 2
Direct
0.000 0.000 0.000
0.000 0.000 0.500
0.000 0.500 0.000
0.500 0.000 0.000
0.125 0.125 0.125
0.875 0.875 0.875
```

=====

Entry 3:
Below is crystalline Li2Zr at its relaxed geometry, with properties calculated at the PBE level.

Properties
ΔE to the lowest computed polymorph (eV per atom): 0.009

The structure in POSCAR format:
```
Li2Zr
1.0
0.000 3.738 3.738
3.738 0.000 3.738
3.738 3.738 0.000
Li Zr
4 2
Direct
0.000 0.000 0.000
0.000 0.000 0.500
0.000 0.500 0.000
0.500 0.000 0.000
0.375 0.375 0.375
0.625 0.625 0.625
```